i | # Li2AgTe2

Crystalline Li2AgTe2 at its relaxed geometry (PBE, Alexandria).

V: 506.1 Å³/cell
SG: P2_1/c, No. 14

a = 6.740 Å, b = 7.409 Å, c = 10.425 Å
α = 90.00°, β = 76.43°, γ = 90.00°
Fractional coordinates of all 20 atoms:
Li 0.490 0.247 0.028
Li 0.990 0.253 0.028
Li 0.010 0.747 0.972
Li 0.510 0.753 0.972
Li 0.937 0.784 0.286
Li 0.437 0.716 0.286
Li 0.563 0.284 0.714
Li 0.063 0.216 0.714
Ag 0.136 0.411 0.391
Ag 0.864 0.589 0.609
Ag 0.636 0.089 0.391
Ag 0.364 0.911 0.609
Te 0.705 0.973 0.132
Te 0.205 0.527 0.132
Te 0.795 0.473 0.868
Te 0.295 0.027 0.868
Te 0.688 0.471 0.401
Te 0.188 0.029 0.401
Te 0.812 0.971 0.599
Te 0.312 0.529 0.599

=====

ii | # Li2AgTe2

Crystalline Li2AgTe2 at its relaxed geometry (PBE, Alexandria).

V: 230.4 Å³/cell
Density of states at the Fermi level: 0.193 states/eV/atom
SG: P4/mbm, No. 127

a = 8.233 Å, b = 8.233 Å, c = 3.399 Å
α = 90.00°, β = 90.00°, γ = 90.00°
Fractional coordinates of all 10 atoms:
Te 0.322 0.822 0.000
Te 0.822 0.678 0.000
Te 0.678 0.178 0.000
Te 0.178 0.322 0.000
Ag 0.000 0.000 0.000
Ag 0.500 0.500 0.000
Li 0.126 0.626 0.500
Li 0.626 0.874 0.500
Li 0.874 0.374 0.500
Li 0.374 0.126 0.500

=====

Least stable = ii